La2SmTa | PBE | optimized geometry

a = 12.537 Å, b = 12.537 Å, c = 12.537 Å
α = 15.09°, β = 15.09°, γ = 15.09°
Fractional coordinates of all 4 atoms:
La (0.078, 0.078, 0.078)
La (0.922, 0.922, 0.922)
Sm (0.500, 0.500, 0.500)
Ta (0.000, 0.000, 0.000)

Computed properties:
energy of formation = 646 meV/atom
VASP energy = -0.219 hartree per atom
crystal system = trigonal
space group = R-3m
ρ = 8.694 g/cm³



TaRu | PBE | optimized geometry

a = 5.320 Å, b = 5.320 Å, c = 6.375 Å
α = 107.28°, β = 107.28°, γ = 34.62°
Fractional coordinates of all 6 atoms:
Ta (0.000, 0.000, 0.000)
Ta (0.029, 0.029, 0.523)
Ta (0.333, 0.333, 0.186)
Ru (0.363, 0.363, 0.666)
Ru (0.663, 0.663, 0.325)
Ru (0.674, 0.674, 0.858)

Computed properties:
energy of formation = -208 meV/atom
VASP energy = -0.396 hartree per atom
crystal system = monoclinic
space group = Cm
ρ = 14.420 g/cm³



NiBiAs | PBE | optimized geometry

a = 6.485 Å, b = 6.379 Å, c = 6.558 Å
α = 90.00°, β = 116.49°, γ = 90.00°
Fractional coordinates of all 12 atoms:
Ni (0.192, 0.021, 0.197)
Ni (0.192, 0.479, 0.697)
Ni (0.808, 0.521, 0.303)
Ni (0.808, 0.979, 0.803)
Bi (0.348, 0.637, 0.133)
Bi (0.348, 0.863, 0.633)
Bi (0.652, 0.137, 0.367)
Bi (0.652, 0.363, 0.867)
As (0.151, 0.143, 0.838)
As (0.151, 0.357, 0.338)
As (0.849, 0.643, 0.662)
As (0.849, 0.857, 0.162)

Computed properties:
energy of formation = -139 meV/atom
VASP energy = -0.180 hartree per atom
crystal system = monoclinic
ΔE to the lowest computed polymorph = 0.0 meV per atom
space group = P2_1/c
ρ = 9.372 g/cm³



PrNd5Sm2 | PBE | optimized geometry

a = 7.342 Å, b = 14.687 Å, c = 5.192 Å
α = 90.00°, β = 90.00°, γ = 90.00°
Fractional coordinates of all 16 atoms:
Pr (0.000, 0.000, 0.000)
Pr (0.500, 0.500, 0.000)
Nd (0.000, 0.500, 0.000)
Nd (0.001, 0.250, 0.000)
Nd (0.249, 0.625, 0.500)
Nd (0.251, 0.125, 0.500)
Nd (0.499, 0.750, 0.000)
Nd (0.500, 0.000, 0.000)
Nd (0.501, 0.250, 0.000)
Nd (0.749, 0.875, 0.500)
Nd (0.751, 0.375, 0.500)
Nd (0.999, 0.750, 0.000)
Sm (0.249, 0.875, 0.500)
Sm (0.251, 0.375, 0.500)
Sm (0.749, 0.625, 0.500)
Sm (0.751, 0.125, 0.500)

Computed properties:
energy of formation = 13 meV/atom
VASP energy = -0.174 hartree per atom
crystal system = orthorhombic
space group = Pbam
ρ = 6.898 g/cm³



Zr3TaNb | PBE | optimized geometry

a = 5.000 Å, b = 5.000 Å, c = 5.000 Å
α = 90.00°, β = 90.00°, γ = 90.00°
Fractional coordinates of all 5 atoms:
Zr (0.000, 0.000, 0.500)
Zr (0.000, 0.500, 0.000)
Zr (0.500, 0.000, 0.000)
Ta (0.500, 0.500, 0.500)
Nb (0.000, 0.000, 0.000)

Computed properties:
energy of formation = 1224 meV/atom
VASP energy = -0.305 hartree per atom
crystal system = cubic
ΔE to the lowest computed polymorph = 0.0 meV per atom
space group = Pm-3m
ρ = 7.275 g/cm³



Zn3Fe5H3 | PBE | optimized geometry

a = 6.859 Å, b = 6.859 Å, c = 2.743 Å
α = 90.00°, β = 90.00°, γ = 120.00°
Fractional coordinates of all 11 atoms:
Zn (0.000, 0.356, 0.000)
Zn (0.356, 0.000, 0.000)
Zn (0.644, 0.644, 0.000)
Fe (0.000, 0.788, 0.500)
Fe (0.212, 0.212, 0.500)
Fe (0.333, 0.667, 0.500)
Fe (0.667, 0.333, 0.500)
Fe (0.788, 0.000, 0.500)
H (0.000, 0.547, 0.500)
H (0.453, 0.453, 0.500)
H (0.547, 0.000, 0.500)

Computed properties:
VASP energy = -0.178 hartree per atom
crystal system = hexagonal
space group = P-62m
ρ = 7.109 g/cm³



Cr2CoBi | PBE | optimized geometry

a = 5.670 Å, b = 5.670 Å, c = 5.670 Å
α = 103.80°, β = 103.80°, γ = 121.53°
Fractional coordinates of all 8 atoms:
Cr (0.064, 0.625, 0.939)
Cr (0.375, 0.314, 0.439)
Cr (0.686, 0.125, 0.061)
Cr (0.875, 0.936, 0.561)
Co (0.000, 0.000, 0.000)
Co (0.750, 0.250, 0.500)
Bi (0.250, 0.750, 0.500)
Bi (0.500, 0.500, 0.000)

Computed properties:
energy of formation = 817 meV/atom
VASP energy = -0.248 hartree per atom
crystal system = tetragonal
space group = I-42d
ρ = 9.112 g/cm³